VASP calculation (PBE) on a relaxed Y2Zn3Ni12Rh crystal.

Results
formation energy from the elements = 0.024 eV per atom
uncorrected energy = -5.17 eV per atom
SG = No. 166

a b c (Å): 11.9117 11.9117 11.9117
angles (deg): 24.70 24.70 24.70
Atoms (fractional coordinates):
Y: 0.1421 0.1421 0.1421
Y: 0.8579 0.8579 0.8579
Zn: 0.0000 0.5000 0.5000
Zn: 0.5000 0.0000 0.5000
Zn: 0.5000 0.5000 0.0000
Ni: 0.1028 0.1028 0.6302
Ni: 0.1028 0.6302 0.1028
Ni: 0.1116 0.6064 0.6064
Ni: 0.3698 0.8972 0.8972
Ni: 0.3936 0.3936 0.8884
Ni: 0.3936 0.8884 0.3936
Ni: 0.6064 0.1116 0.6064
Ni: 0.6064 0.6064 0.1116
Ni: 0.6302 0.1028 0.1028
Ni: 0.8884 0.3936 0.3936
Ni: 0.8972 0.3698 0.8972
Ni: 0.8972 0.8972 0.3698
Rh: 0.5000 0.5000 0.5000